(1)
This record from Alexandria describes Li2Mg2Zr at its PBEsol-relaxed geometry. The functional is SCAN.

Cell and atoms, written as POSCAR:
```
Li2Mg2Zr
1.0
-3.0244 -1.8685 -1.2171
-1.1134 -0.5117 3.5522
-1.6373 7.3661 -1.4395
Li Mg Zr
2 2 1
Direct
0.7500 0.2500 0.5000 Li
0.2500 0.7500 0.5000 Li
0.3972 0.3972 0.7944 Mg
0.6028 0.6028 0.2056 Mg
0.0000 0.0000 0.0000 Zr
```

Computed properties:
SG = No. 139

***

(2)
This record from Alexandria describes Li2MgZr at its PBEsol-relaxed geometry. The functional is SCAN.

Cell and atoms, written as POSCAR:
```
Li2MgZr
1.0
-2.5444 -1.1792 -0.8511
1.1372 -0.5442 -2.6456
2.8214 -8.1770 2.8947
Li Mg Zr
2 1 1
Direct
0.0000 0.0000 0.7602 Li
0.0000 0.0000 0.2398 Li
0.5000 0.5000 0.0000 Mg
0.5000 0.5000 0.5000 Zr
```

Computed properties:
SG = No. 123

***

(3)
This record from Alexandria describes LiMgZr at its PBEsol-relaxed geometry. The functional is SCAN.

Cell and atoms, written as POSCAR:
```
LiMgZr
1.0
4.6534 0.0000 0.0000
2.3267 4.0300 0.0000
2.3267 1.3433 3.7995
Mg Li Zr
1 1 1
Direct
0.2500 0.2500 0.2500 Mg
0.5000 0.5000 0.5000 Li
0.0000 0.0000 0.0000 Zr
```

Computed properties:
SG = No. 216

***

(4)
This record from Alexandria describes Li2MgZr at its PBEsol-relaxed geometry. The functional is SCAN.

Cell and atoms, written as POSCAR:
```
Li2MgZr
1.0
2.7832 0.0000 0.0000
-1.3916 5.0253 0.0216
0.0000 -0.4634 5.7527
Li Zr Mg
2 1 1
Direct
0.2486 0.4973 0.2462 Li
0.7514 0.5027 0.7538 Li
0.0000 0.0000 0.5000 Zr
0.5000 0.0000 0.0000 Mg
```

Computed properties:
SG = No. 12

***

Ordered DFT formation energy results: 0.23, 0.19, 0.89, 0.18; unit eV per atom.
Ordered E results: -8.86, -9.93, -11.80, -9.93; unit eV/atom.